Version one
Material: La4IrRu
Method: DFT, PBE
State: optimized geometry

Cell lengths 7.1081, 7.1195, 8.8553 Å; angles 107.12, 107.07, 105.55 degrees
Atoms (fractional coordinates):
La: 0.9466 0.1985 0.9003
La: 0.4538 0.7018 0.9003
La: 0.5462 0.2982 0.0997
Ru: 0.3443 0.5943 0.1886
Ir: 0.1643 0.9143 0.8286
Ru: 0.6557 0.4057 0.8114
La: 0.1995 0.4616 0.3968
La: 0.8005 0.5384 0.6032
Ir: 0.8357 0.0857 0.1714
La: 0.6973 0.9352 0.3968
La: 0.3027 0.0648 0.6032
La: 0.0534 0.8015 0.0997

Properties
Its density of states at the Fermi level is 8.7 states/eV/cell. The value obtained for the volume is 377 Å³/cell.



Version two
Material: La4IrRu
Method: DFT, PBE
State: optimized geometry

Cell lengths 6.0330, 6.0330, 6.0330 Å; angles 60.00, 60.00, 60.00 degrees
Atoms (fractional coordinates):
La: 0.3750 0.8751 0.3750
Ir: 0.0000 0.0000 0.0000
La: 0.3750 0.3750 0.8751
La: 0.3750 0.3750 0.3750
La: 0.8751 0.3750 0.3750
Ru: 0.7500 0.7500 0.7500

Properties
Its density of states at the Fermi level is 8.2 states/eV/cell. The value obtained for the volume is 155 Å³/cell.



Most favorable structure: version one. The second most favorable one is 1.271 eV/atom above it.



Version one
Material: La3IrRu
Method: DFT, PBE
State: optimized geometry

Cell lengths 5.3181, 5.3181, 5.3181 Å; angles 90.00, 90.00, 90.00 degrees
Atoms (fractional coordinates):
La: 0.0000 0.0000 0.5000
La: 0.5000 0.0000 0.0000
Ir: 0.5000 0.5000 0.5000
Ru: 0.0000 0.0000 0.0000
La: 0.0000 0.5000 0.0000

Properties
Its density of states at the Fermi level is 4.8 states/eV/cell. The value obtained for the volume is 150 Å³/cell.



Version two
Material: La3IrRu
Method: DFT, PBE
State: optimized geometry

Cell lengths 8.4625, 7.5783, 8.8637 Å; angles 90.00, 74.52, 90.00 degrees
Atoms (fractional coordinates):
La: 0.4831 0.7018 0.8511
La: 0.2202 0.0092 0.4532
La: 0.6022 0.8336 0.2083
La: 0.0169 0.2018 0.1489
Ir: 0.6872 0.0295 0.9054
La: 0.1022 0.6664 0.2083
Ru: 0.9879 0.6907 0.5408
La: 0.7202 0.4908 0.4532
La: 0.7798 0.9908 0.5468
Ru: 0.5121 0.1907 0.4592
La: 0.3978 0.1664 0.7917
La: 0.8978 0.3336 0.7917
La: 0.9831 0.7982 0.8511
Ru: 0.0121 0.3093 0.4592
La: 0.5169 0.2982 0.1489
Ru: 0.4879 0.8093 0.5408
Ir: 0.3128 0.9705 0.0946
Ir: 0.8128 0.5295 0.0946
Ir: 0.1872 0.4705 0.9054
La: 0.2798 0.5092 0.5468

Properties
Its density of states at the Fermi level is 13.8 states/eV/cell. The value obtained for the volume is 548 Å³/cell.



Most favorable structure: version two. The second most favorable one is 0.565 eV/atom above it.